# Zr2CuMo | Alexandria | PBE | relaxed
# - D(E_F) (states/eV per cell) = 3.4
# - total moment (μB per atom) = 0.000
# - energy above the most stable polymorph in this dataset (meV per atom) = 40.4
# - theoretical density (g/cm³) = 7.8
data_Zr2CuMo
_chemical_formula_sum 'Zr2 Cu1 Mo1'
_symmetry_space_group_name_H-M 'P 1'
_symmetry_Int_Tables_number 1
_cell_length_a 4.643
_cell_length_b 7.378
_cell_length_c 3.373
_cell_angle_alpha 62.79
_cell_angle_beta 90.00
_cell_angle_gamma 128.94
loop_
_symmetry_equiv_pos_as_xyz
'x,y,z'
loop_
_atom_site_label
_atom_site_type_symbol
_atom_site_fract_x
_atom_site_fract_y
_atom_site_fract_z
Zr1 Zr 0.000 0.000 0.000
Cu1 Cu 0.500 0.500 0.000
Mo1 Mo 0.500 0.000 0.500
Zr2 Zr 0.000 0.500 0.500

=====

# Li4YRu | Alexandria | PBE | relaxed
# - D(E_F) (states/eV per cell) = 5.3
# - total moment (μB per atom) = 0.000
# - theoretical density (g/cm³) = 3.7
data_Li4YRu
_chemical_formula_sum 'Li4 Y1 Ru1'
_symmetry_space_group_name_H-M 'P 1'
_symmetry_Int_Tables_number 1
_cell_length_a 5.183
_cell_length_b 5.183
_cell_length_c 5.183
_cell_angle_alpha 60.00
_cell_angle_beta 60.00
_cell_angle_gamma 60.00
loop_
_symmetry_equiv_pos_as_xyz
'x,y,z'
loop_
_atom_site_label
_atom_site_type_symbol
_atom_site_fract_x
_atom_site_fract_y
_atom_site_fract_z
Li1 Li 0.379 0.379 0.863
Li2 Li 0.863 0.379 0.379
Ru1 Ru 0.750 0.750 0.750
Y1 Y 0.000 0.000 0.000
Li3 Li 0.379 0.863 0.379
Li4 Li 0.379 0.379 0.379

=====

Energy of formation from the pure elements: -0.0725, 0.1663 (eV per atom)
Volume: 73, 98 (Å³ per cell)